Record 1
VASP calculation (GGA-PBE) on Ba2NaSb4Pt3 after structural relaxation.

The space group is P-4m2 (No. 115) and the conventional cell measures 4.856, 4.856 and 11.056 Å, with angles of 90.00, 90.00 and 90.00 degrees. Symmetry generates all atoms from Ba at (0.000, 0.500, 0.248), Na at (0.500, 0.500, 0.000), Sb at (0.000, 0.000, 0.500), Sb at (0.000, 0.500, 0.859), Sb at (0.500, 0.500, 0.500), Pt at (0.000, 0.000, 0.000) and Pt at (0.000, 0.500, 0.614).

For the formation energy without anion corrections, the calculation gives -0.748 eV/atom. The calculation puts the volume at 261 Å³ per cell. As for the crystal system: tetragonal.

=====

Record 2
VASP calculation (GGA-PBE) on Li6Cd5 after structural relaxation.

The space group is Cmmm (No. 65) and the conventional cell measures 4.633, 14.022 and 6.678 Å, with angles of 90.00, 90.00 and 90.00 degrees. Symmetry generates all atoms from Li at (0.000, 0.000, 0.228), Li at (0.000, 0.340, 0.245), Cd at (0.000, 0.168, 0.500), Cd at (0.000, 0.176, 0.000) and Cd at (0.000, 0.500, 0.500).

The value obtained for the formation energy is -4.254 kcal/mol of atoms. The calculation puts the volume at 434 Å³ per cell. The distance to the lowest polymorph of the same formula comes out at 10 meV/atom. As for the crystal system: orthorhombic.

=====

Record 3
VASP calculation (GGA-PBE) on Li2CrAu after structural relaxation.

The space group is Pmmm (No. 47) and the conventional cell measures 2.960, 3.891 and 5.644 Å, with angles of 90.00, 90.00 and 90.00 degrees. Symmetry generates all atoms from Li at (0.000, 0.000, 0.232), Cr at (0.500, 0.500, 0.500) and Au at (0.500, 0.500, 0.000).

The value obtained for the formation energy is 1.389 kcal/mol of atoms. The calculation puts the volume at 65 Å³ per cell. The distance to the lowest polymorph of the same formula comes out at 89 meV/atom. As for the crystal system: orthorhombic.

=====

Record 4
VASP calculation (GGA-PBE) on NaPPdCl2 after structural relaxation.

The space group is P4/mmm (No. 123) and the conventional cell measures 4.913, 4.913 and 5.367 Å, with angles of 90.00, 90.00 and 90.00 degrees. Symmetry generates all atoms from Na at (0.000, 0.000, 0.000), P at (0.000, 0.000, 0.500), Pd at (0.500, 0.500, 0.500) and Cl at (0.000, 0.500, 0.000).

For the formation energy without anion corrections, the calculation gives 0.536 eV/atom. The calculation puts the volume at 130 Å³ per cell. The distance to the lowest polymorph of the same formula comes out at 886 meV/atom. As for the crystal system: tetragonal.

=====

Record 5
VASP calculation (GGA-PBE) on NaSr3Te after structural relaxation.

The space group is Pm-3m (No. 221) and the conventional cell measures 6.279, 6.279 and 6.279 Å, with angles of 90.00, 90.00 and 90.00 degrees. Symmetry generates all atoms from Na at (0.000, 0.000, 0.000), Sr at (0.000, 0.000, 0.500) and Te at (0.500, 0.500, 0.500).

For the formation energy without anion corrections, the calculation gives 0.078 eV/atom. The calculation puts the volume at 248 Å³ per cell. The distance to the lowest polymorph of the same formula comes out at 526 meV/atom. As for the crystal system: cubic.